# 1
VASP calculation (PBE) on SmHo5Er4 after structural relaxation.

Calculated values
- space group = I4, No. 79
- energy of formation (meV/atom) = 309

a b c (Å): 7.8075 7.8075 7.8075
angles (deg): 99.30 99.30 132.60
Last column: nearest neighbours and their distance in Å.
Element x y z (fractional)
Sm 0.0000 0.0000 0.0000  1 Ho 2.86
Ho 0.4560 0.4560 0.0000  1 Sm 2.86
Ho 0.4934 0.8711 0.9104  4 Er 3.20-3.49, 1 Ho 3.25, 1 Sm 3.26
Ho 0.5830 0.4934 0.6223  4 Er 3.20-3.49, 1 Ho 3.25, 1 Sm 3.26
Ho 0.8711 0.9607 0.3777  4 Er 3.20-3.49, 1 Ho 3.25, 1 Sm 3.26
Ho 0.9607 0.5830 0.0896  4 Er 3.20-3.49, 1 Ho 3.25, 1 Sm 3.26
Er 0.1794 0.8812 0.6020  4 Ho 3.20-3.49, 1 Er 3.23
Er 0.2792 0.5774 0.3980  4 Ho 3.20-3.49, 1 Er 3.23
Er 0.5774 0.1794 0.2982  4 Ho 3.20-3.49, 1 Er 3.23
Er 0.8812 0.2792 0.7018  4 Ho 3.20-3.49, 1 Er 3.23

=====

# 2
VASP calculation (PBE) on Pr6Sm2Pu after structural relaxation.

Calculated values
- space group = C2/c, No. 15
- energy of formation (meV/atom) = 115

a b c (Å): 11.2260 11.2260 6.7272
angles (deg): 107.39 107.39 50.94
Last column: nearest neighbours and their distance in Å.
Element x y z (fractional)
Pr 0.1567 0.7874 0.9722  1 Sm 3.49, 6 Pr 3.49-3.72, 2 Pu 3.52
Pr 0.1664 0.1669 0.4168  6 Pr 3.36-3.71, 4 Sm 3.55-3.59
Pr 0.1669 0.1664 0.9168  6 Pr 3.36-3.71, 4 Sm 3.55-3.59
Pr 0.1995 0.5257 0.3623  4 Sm 3.47-3.55, 3 Pr 3.49-3.71, 2 Pu 3.49-3.50
Pr 0.2126 0.8433 0.5278  1 Sm 3.49, 6 Pr 3.49-3.72, 2 Pu 3.52
Pr 0.4743 0.8005 0.1377  4 Sm 3.47-3.55, 3 Pr 3.49-3.71, 2 Pu 3.49-3.50
Pr 0.5257 0.1995 0.8623  4 Sm 3.47-3.55, 3 Pr 3.49-3.71, 2 Pu 3.49-3.50
Pr 0.7874 0.1567 0.4722  1 Sm 3.49, 6 Pr 3.49-3.72, 2 Pu 3.52
Pr 0.8005 0.4743 0.6377  4 Sm 3.47-3.55, 3 Pr 3.49-3.71, 2 Pu 3.49-3.50
Pr 0.8331 0.8336 0.0832  6 Pr 3.36-3.71, 4 Sm 3.55-3.59
Pr 0.8336 0.8331 0.5832  6 Pr 3.36-3.71, 4 Sm 3.55-3.59
Pr 0.8433 0.2126 0.0278  1 Sm 3.49, 6 Pr 3.49-3.72, 2 Pu 3.52
Sm 0.1266 0.4807 0.8038  9 Pr 3.47-3.59
Sm 0.4807 0.1266 0.3038  9 Pr 3.47-3.59
Sm 0.5193 0.8734 0.6962  9 Pr 3.47-3.59
Sm 0.8734 0.5193 0.1962  9 Pr 3.47-3.59
Pu 0.5001 0.4999 0.2500  2 Pu 3.36, 8 Pr 3.49-3.52
Pu 0.4999 0.5001 0.7500  2 Pu 3.36, 8 Pr 3.49-3.52

=====

# 3
VASP calculation (PBE) on ZrSc2Cd after structural relaxation.

Calculated values
- offset from the most stable computed form (meV/atom) = 120
- space group = Immm, No. 71
- energy of formation (meV/atom) = -53

a b c (Å): 6.0178 6.0178 6.0178
angles (deg): 146.17 130.09 61.66
Last column: nearest neighbours and their distance in Å.
Element x y z (fractional)
Zr 0.0000 0.0000 0.0000  4 Cd 3.08, 4 Sc 3.26
Sc 0.2662 0.7662 0.5000  2 Cd 2.98, 4 Sc 3.10, 2 Zr 3.26
Sc 0.7338 0.2338 0.5000  2 Cd 2.98, 4 Sc 3.10, 2 Zr 3.26
Cd 0.5000 0.5000 0.0000  4 Sc 2.98, 4 Zr 3.08

=====

# 4
VASP calculation (PBE) on Sc2TcHg after structural relaxation.

Calculated values
- space group = P2/m, No. 10
- energy of formation (meV/atom) = -371

a b c (Å): 3.3245 3.3691 6.9301
angles (deg): 90.00 90.40 90.00
Last column: nearest neighbours and their distance in Å.
Element x y z (fractional)
Sc 0.0013 0.0000 0.2835  4 Tc 2.79-2.81, 1 Sc 3.00, 4 Hg 3.07-3.08
Sc 0.9987 0.0000 0.7165  4 Tc 2.79-2.81, 1 Sc 3.00, 4 Hg 3.07-3.08
Tc 0.5000 0.5000 0.5000  8 Sc 2.79-2.81
Hg 0.5000 0.5000 0.0000  8 Sc 3.07-3.08, 4 Hg 3.32-3.37

=====

# 5
VASP calculation (PBE) on ZrInTe2 after structural relaxation.

Calculated values
- space group = Amm2, No. 38
- formation energy (no corrections) (eV per atom) = -0.366

a b c (Å): 5.3242 5.5250 5.5250
angles (deg): 42.95 90.00 90.00
Last column: nearest neighbours and their distance in Å.
Element x y z (fractional)
Zr 0.0000 0.0000 0.0000  5 Te 2.88-3.03
In 0.5000 0.5989 0.5989  3 Te 2.95-2.98
Te 0.0000 0.2803 0.2803  3 Zr 2.88-3.03
Te 0.5000 0.8860 0.8860  2 Zr 2.91, 3 In 2.95-2.98

=====

# 6
VASP calculation (PBE) on Sm5Ir4 after structural relaxation.

Calculated values
- space group = C2/m, No. 12
- energy of formation (meV/atom) = -647

a b c (Å): 5.8030 5.8030 10.0151
angles (deg): 110.36 110.36 43.56
Last column: nearest neighbours and their distance in Å.
Element x y z (fractional)
Sm 0.0000 0.0000 0.0000  4 Ir 2.81
Sm 0.1094 0.1094 0.3967  7 Ir 3.00-3.22
Sm 0.2424 0.2424 0.8204  6 Ir 2.93-3.26
Sm 0.7576 0.7576 0.1796  6 Ir 2.93-3.26
Sm 0.8906 0.8906 0.6033  7 Ir 3.00-3.22
Ir 0.3834 0.3834 0.3840  2 Ir 2.67-2.71, 2 Sm 2.93
Ir 0.4520 0.4520 0.1542  1 Ir 2.67, 2 Sm 2.81
Ir 0.5480 0.5480 0.8458  1 Ir 2.67, 2 Sm 2.81
Ir 0.6166 0.6166 0.6160  2 Ir 2.67-2.71, 2 Sm 2.93

=====

What did we get for volume? Answer: 32.08 34.51 22.97 19.40 27.68 23.94 Å³/atom, in the order shown.